# DyPuS4 (GGA-PBE, optimized geometry)
# E_form (uncorrected) = -1376 meV per atom
# Magnetization = 3.00 μB per formula unit
data_DyPuS4
_symmetry_space_group_name_H-M 'C m m m'
_symmetry_Int_Tables_number 65
_symmetry_space_group_name_Hall '-C 2 2'
_cell_length_a 8.7734
_cell_length_b 8.8938
_cell_length_c 4.0959
_cell_angle_alpha 90.00
_cell_angle_beta 90.00
_cell_angle_gamma 90.00
loop_
_atom_site_label
_atom_site_fract_x
_atom_site_fract_y
_atom_site_fract_z
Dy1 0.0000 0.0000 0.0000
Pu1 0.0000 0.5000 0.5000
S1 0.0000 0.3119 0.0000
S2 0.2030 0.0000 0.5000